Entry 1:
{
  "formula": "GdPS",
  "functional": "PBE-GGA",
  "state": "optimized geometry",
  "energy_ry_per_atom": -0.464,
  "sg": "No. 62",
  "lattice_angstrom": [[5.415, 0.000, 0.000], [0.000, 5.370, 0.000], [0.000, 0.000, 16.837]],
  "species": ["Gd", "Gd", "Gd", "Gd", "Gd", "Gd", "Gd", "Gd", "P", "P", "P", "P", "P", "P", "P", "P", "S", "S", "S", "S", "S", "S", "S", "S"],
  "fractional_positions": [[0.015, 0.250, 0.146], [0.016, 0.750, 0.362], [0.484, 0.250, 0.862], [0.485, 0.750, 0.646], [0.515, 0.250, 0.354], [0.516, 0.750, 0.138], [0.984, 0.250, 0.638], [0.985, 0.750, 0.854], [0.204, 0.538, 0.997], [0.204, 0.962, 0.997], [0.296, 0.038, 0.497], [0.296, 0.462, 0.497], [0.704, 0.538, 0.503], [0.704, 0.962, 0.503], [0.796, 0.038, 0.003], [0.796, 0.462, 0.003], [0.012, 0.250, 0.316], [0.015, 0.750, 0.189], [0.485, 0.250, 0.689], [0.488, 0.750, 0.816], [0.512, 0.250, 0.184], [0.515, 0.750, 0.311], [0.985, 0.250, 0.811], [0.988, 0.750, 0.684]]
}

Entry 2:
{
  "formula": "GdTmCuSe3",
  "functional": "PBE-GGA",
  "state": "optimized geometry",
  "energy_ry_per_atom": -0.384,
  "sg": "No. 63",
  "lattice_angstrom": [[1.935, -6.580, 0.000], [1.935, 6.580, 0.000], [0.000, 0.000, 10.623]],
  "species": ["Gd", "Gd", "Tm", "Tm", "Cu", "Cu", "Se", "Se", "Se", "Se", "Se", "Se"],
  "fractional_positions": [[0.000, 0.000, 0.000], [0.000, 0.000, 0.500], [0.227, 0.773, 0.750], [0.773, 0.227, 0.250], [0.477, 0.523, 0.250], [0.523, 0.477, 0.750], [0.101, 0.899, 0.250], [0.351, 0.649, 0.079], [0.351, 0.649, 0.421], [0.649, 0.351, 0.579], [0.649, 0.351, 0.921], [0.899, 0.101, 0.750]]
}

Entry 3:
{
  "formula": "DyAuNO",
  "functional": "PBE-GGA",
  "state": "optimized geometry",
  "energy_ry_per_atom": -0.477,
  "sg": "No. 29",
  "lattice_angstrom": [[5.706, 0.000, 0.000], [0.000, 7.680, 0.000], [0.000, 0.000, 5.568]],
  "species": ["Dy", "Dy", "Dy", "Dy", "Au", "Au", "Au", "Au", "N", "N", "N", "N", "O", "O", "O", "O"],
  "fractional_positions": [[0.040, 0.132, 0.000], [0.460, 0.132, 0.500], [0.540, 0.868, 0.000], [0.960, 0.868, 0.500], [0.067, 0.469, 0.647], [0.433, 0.469, 0.147], [0.567, 0.531, 0.647], [0.933, 0.531, 0.147], [0.146, 0.332, 0.313], [0.354, 0.332, 0.813], [0.646, 0.668, 0.313], [0.854, 0.668, 0.813], [0.248, 0.963, 0.243], [0.252, 0.963, 0.743], [0.748, 0.037, 0.243], [0.752, 0.037, 0.743]]
}

Entry 4:
{
  "formula": "AcTbPa",
  "functional": "PBE-GGA",
  "state": "optimized geometry",
  "energy_ry_per_atom": -0.364,
  "delta_e_f_kj_per_mol_fu": 325.1,
  "sg": "No. 216",
  "lattice_angstrom": [[0.000, 3.864, 3.864], [3.864, 0.000, 3.864], [3.864, 3.864, 0.000]],
  "species": ["Ac", "Tb", "Pa"],
  "fractional_positions": [[0.000, 0.000, 0.000], [0.500, 0.500, 0.500], [0.250, 0.250, 0.250]]
}

Entry 5:
{
  "formula": "Ga3Ni",
  "functional": "PBE-GGA",
  "state": "optimized geometry",
  "energy_ry_per_atom": -0.270,
  "sg": "No. 194",
  "lattice_angstrom": [[5.537, 0.000, 0.000], [-2.769, 4.795, 0.000], [0.000, 0.000, 4.535]],
  "species": ["Ga", "Ga", "Ga", "Ga", "Ga", "Ga", "Ni", "Ni"],
  "fractional_positions": [[0.172, 0.344, 0.250], [0.172, 0.828, 0.250], [0.344, 0.172, 0.750], [0.656, 0.828, 0.250], [0.828, 0.172, 0.750], [0.828, 0.656, 0.750], [0.333, 0.667, 0.750], [0.667, 0.333, 0.250]]
}

Entry 6:
{
  "formula": "Mg2GaAu",
  "functional": "PBE-GGA",
  "state": "optimized geometry",
  "energy_ry_per_atom": -0.189,
  "sg": "No. 216",
  "lattice_angstrom": [[0.000, 3.319, 3.319], [3.319, 0.000, 3.319], [3.319, 3.319, 0.000]],
  "species": ["Mg", "Mg", "Ga", "Au"],
  "fractional_positions": [[0.000, 0.000, 0.000], [0.250, 0.250, 0.250], [0.500, 0.500, 0.500], [0.750, 0.750, 0.750]]
}

Entry 7:
{
  "formula": "Nd3Er3NiTe2",
  "functional": "PBE-GGA",
  "state": "optimized geometry",
  "energy_ry_per_atom": -0.372,
  "sg": "No. 189",
  "lattice_angstrom": [[8.583, 0.000, 0.000], [-4.292, 7.433, 0.000], [0.000, 0.000, 3.894]],
  "species": ["Nd", "Nd", "Nd", "Er", "Er", "Er", "Ni", "Te", "Te"],
  "fractional_positions": [[0.000, 0.758, 0.000], [0.242, 0.242, 0.000], [0.758, 0.000, 0.000], [0.000, 0.408, 0.500], [0.408, 0.000, 0.500], [0.592, 0.592, 0.500], [0.000, 0.000, 0.500], [0.333, 0.667, 0.000], [0.667, 0.333, 0.000]]
}

Entry 8:
{
  "formula": "CsMgHg",
  "functional": "PBE-GGA",
  "state": "optimized geometry",
  "energy_ry_per_atom": -0.058,
  "sg": "No. 216",
  "lattice_angstrom": [[0.000, 4.123, 4.123], [4.123, 0.000, 4.123], [4.123, 4.123, 0.000]],
  "species": ["Cs", "Mg", "Hg"],
  "fractional_positions": [[0.000, 0.000, 0.000], [0.500, 0.500, 0.500], [0.250, 0.250, 0.250]]
}